DFT (PBE+U) results for an optimized crystal structure of Li4Mn3CuO8.

Computed properties:
E_tot ... -99.050 eV/cell

abc: 5.9601 5.9601 5.9601
angles: 60.00 60.00 60.00
Positions (direct):
Li  0.0000  0.0000  0.0000
Li  0.0000  0.5000  0.5000
Li  0.5000  0.0000  0.5000
Li  0.5000  0.5000  0.0000
Mn  0.0000  0.0000  0.5000
Mn  0.0000  0.5000  0.0000
Mn  0.5000  0.0000  0.0000
Cu  0.5000  0.5000  0.5000
O  0.2204  0.7491  0.7491
O  0.2513  0.2513  0.2513
O  0.2509  0.2509  0.7796
O  0.2509  0.7796  0.2509
O  0.7491  0.2204  0.7491
O  0.7491  0.7491  0.2204
O  0.7487  0.7487  0.7487
O  0.7796  0.2509  0.2509